No. 1
First-principles (GGA-PBE) data for a geometry-optimized LaCePmIn structure, as listed in the Alexandria database.

The space group is F-43m (No. 216) and the conventional cell measures 7.862, 7.862 and 7.862 Å, with angles of 90.00, 90.00 and 90.00 degrees. The asymmetric unit holds La at (0.000, 0.000, 0.000), Ce at (0.250, 0.250, 0.750), Pm at (0.000, 0.000, 0.500) and In at (0.250, 0.250, 0.250).

For the theoretical density, the calculation gives 7.365 g/cm³. Its density of states at the Fermi level is 1.9585 states/eV/atom. The total magnetization is 0.44 μB/f.u. Its calculated formation energy is -0.094 eV/atom.

No. 2
First-principles (GGA-PBE) data for a geometry-optimized TbPmPr2As4 structure, as listed in the Alexandria database.

The space group is P2/m (No. 10) and the conventional cell measures 7.357, 4.252 and 7.358 Å, with angles of 90.00, 109.46 and 90.00 degrees. The asymmetric unit holds Tb at (0.000, 0.000, 0.000), Pm at (0.000, 0.500, 0.500), Pr at (0.500, 0.000, 0.500), Pr at (0.500, 0.500, 0.000), As at (0.242, 0.500, 0.245) and As at (0.244, 0.000, 0.751).

For the theoretical density, the calculation gives 6.774 g/cm³. Its density of states at the Fermi level is 0.0864 states/eV/atom. The total magnetization is 0.00 μB/f.u. Its calculated formation energy is -1.512 eV/atom.

No. 3
First-principles (GGA-PBE) data for a geometry-optimized Li2IrRu2 structure, as listed in the Alexandria database.

The space group is P4/mbm (No. 127) and the conventional cell measures 6.903, 6.903 and 2.765 Å, with angles of 90.00, 90.00 and 90.00 degrees. The asymmetric unit holds Li at (0.178, 0.322, 0.000), Ir at (0.000, 0.000, 0.500) and Ru at (0.120, 0.620, 0.500).

For the theoretical density, the calculation gives 10.291 g/cm³. As for the energy above the most stable polymorph in this dataset: 0.0 kJ per mole of atoms. Its density of states at the Fermi level is 1.2142 states/eV/atom. The total magnetization is 0.00 μB/f.u. Its calculated formation energy is 0.463 eV/atom.

No. 4
First-principles (GGA-PBE) data for a geometry-optimized Sr2In4Pd5 structure, as listed in the Alexandria database.

The space group is Fmmm (No. 69) and the conventional cell measures 6.028, 10.183 and 16.724 Å, with angles of 90.00, 90.00 and 90.00 degrees. The asymmetric unit holds Sr at (0.000, 0.000, 0.125), In at (0.000, 0.160, 0.371), Pd at (0.000, 0.000, 0.500), Pd at (0.250, 0.250, 0.000) and Pd at (0.250, 0.250, 0.250).

For the theoretical density, the calculation gives 7.548 g/cm³. Its density of states at the Fermi level is 0.5693 states/eV/atom. The total magnetization is 0.00 μB/f.u. Its calculated formation energy is -0.579 eV/atom.

No. 5
First-principles (GGA-PBE) data for a geometry-optimized La2ReAu structure, as listed in the Alexandria database.

The space group is F-43m (No. 216) and the conventional cell measures 7.114, 7.114 and 7.114 Å, with angles of 90.00, 90.00 and 90.00 degrees. The asymmetric unit holds La at (0.000, 0.000, 0.000), La at (0.250, 0.250, 0.250), Re at (0.000, 0.000, 0.500) and Au at (0.250, 0.250, 0.750).

For the theoretical density, the calculation gives 12.194 g/cm³. As for the energy above the most stable polymorph in this dataset: 36.8 kJ per mole of atoms. Its density of states at the Fermi level is 1.5034 states/eV/atom. The total magnetization is 0.50 μB/f.u. Its calculated formation energy is 0.213 eV/atom.

No. 6
First-principles (GGA-PBE) data for a geometry-optimized LiCuPO4 structure, as listed in the Alexandria database.

The space group is I-4 (No. 82) and the conventional cell measures 4.996, 4.996 and 6.732 Å, with angles of 90.00, 90.00 and 90.00 degrees. The asymmetric unit holds Li at (0.000, 0.000, 0.000), Cu at (0.000, 0.000, 0.500), P at (0.000, 0.500, 0.250) and O at (0.180, 0.685, 0.380).

For the theoretical density, the calculation gives 3.271 g/cm³. As for the energy above the most stable polymorph in this dataset: 1.7 kJ per mole of atoms. Its density of states at the Fermi level is 0.0902 states/eV/atom. The value obtained for the uncorrected formation energy is -1.789 eV/atom. The total magnetization is 1.04 μB/f.u.

No. 7
First-principles (GGA-PBE) data for a geometry-optimized Cd2FeTe structure, as listed in the Alexandria database.

The space group is P4/mmm (No. 123) and the conventional cell measures 3.063, 3.063 and 9.581 Å, with angles of 90.00, 90.00 and 90.00 degrees. The asymmetric unit holds Cd at (0.000, 0.000, 0.187), Fe at (0.500, 0.500, 0.000) and Te at (0.500, 0.500, 0.500).

For the theoretical density, the calculation gives 7.544 g/cm³. Its density of states at the Fermi level is 0.7622 states/eV/atom. The value obtained for the uncorrected formation energy is 0.308 eV/atom. The total magnetization is 2.49 μB/f.u.

No. 8
First-principles (GGA-PBE) data for a geometry-optimized Tm2Mg3Zr structure, as listed in the Alexandria database.

The space group is P4/mmm (No. 123) and the conventional cell measures 3.601, 3.601 and 11.481 Å, with angles of 90.00, 90.00 and 90.00 degrees. The asymmetric unit holds Tm at (0.000, 0.000, 0.181), Mg at (0.500, 0.500, 0.000), Mg at (0.500, 0.500, 0.350) and Zr at (0.000, 0.000, 0.500).

For the theoretical density, the calculation gives 5.598 g/cm³. Its density of states at the Fermi level is 0.8765 states/eV/atom. The total magnetization is 0.00 μB/f.u. Its calculated formation energy is 0.000 eV/atom.